Record 1
DFT (PBE) results for crystalline KCoCuRe at its relaxed geometry.

Computed properties:
density = 8.76 Mg/m³
space group = F-43m (216)
energy above the lowest structure with this stoichiometry = 7.91 kcal/mol of atoms

POSCAR file:
```
KCoCuRe
1.0
0.0000 3.2061 3.2061
3.2061 0.0000 3.2061
3.2061 3.2061 0.0000
K Co Cu Re
1 1 1 1
direct
0.0000 0.0000 0.0000
0.2500 0.2500 0.2500
0.5000 0.5000 0.5000
0.7500 0.7500 0.7500
```

***

Record 2
DFT (PBE) results for crystalline KCoCuSeS2 at its relaxed geometry.

Computed properties:
E = -4.378 eV per atom
density = 4.21 Mg/m³
space group = Cmcm (63)

POSCAR file:
```
KCoCuSeS2
1.0
1.7287 -7.3635 0.0000
1.7287 7.3635 0.0000
0.0000 0.0000 9.4498
K Co Cu Se S
2 2 2 2 4
direct
0.2413 0.7587 0.7500
0.7587 0.2413 0.2500
0.0000 0.0000 0.0000
0.0000 0.0000 0.5000
0.4528 0.5472 0.2500
0.5472 0.4528 0.7500
0.0654 0.9346 0.2500
0.9346 0.0654 0.7500
0.3972 0.6028 0.0323
0.3972 0.6028 0.4677
0.6028 0.3972 0.5323
0.6028 0.3972 0.9677
```

***

Record 3
DFT (PBE) results for crystalline KCoCuSe2S at its relaxed geometry.

Computed properties:
E = -4.233 eV per atom
density = 4.64 Mg/m³
space group = Cmcm (63)

POSCAR file:
```
KCoCuSe2S
1.0
1.8028 -7.2845 0.0000
1.8028 7.2845 0.0000
0.0000 0.0000 9.5888
K Co Cu Se S
2 2 2 4 2
direct
0.2478 0.7522 0.7500
0.7522 0.2478 0.2500
0.5000 0.5000 0.0000
0.5000 0.5000 0.5000
0.0345 0.9655 0.2500
0.9655 0.0345 0.7500
0.1098 0.8902 0.0322
0.1098 0.8902 0.4678
0.8902 0.1098 0.5322
0.8902 0.1098 0.9678
0.4420 0.5580 0.2500
0.5580 0.4420 0.7500
```

***

Record 4
DFT (PBE) results for crystalline KCoCuTeS2 at its relaxed geometry.

Computed properties:
E = -4.286 eV per atom
density = 4.47 Mg/m³
space group = Cmcm (63)

POSCAR file:
```
KCoCuTeS2
1.0
1.7414 -7.7441 0.0000
1.7414 7.7441 0.0000
0.0000 0.0000 9.7385
K Co Cu Te S
2 2 2 2 4
direct
0.2304 0.7696 0.7500
0.7696 0.2304 0.2500
0.0000 0.0000 0.0000
0.0000 0.0000 0.5000
0.4468 0.5532 0.2500
0.5532 0.4468 0.7500
0.0724 0.9276 0.2500
0.9276 0.0724 0.7500
0.4031 0.5969 0.0345
0.4031 0.5969 0.4655
0.5969 0.4031 0.5345
0.5969 0.4031 0.9655
```

***

Record 5
DFT (PBE) results for crystalline KCoCuTe2Se at its relaxed geometry.

Computed properties:
E = -3.893 eV per atom
density = 5.53 Mg/m³
space group = Cmcm (63)

POSCAR file:
```
KCoCuTe2Se
1.0
1.9033 -7.6686 0.0000
1.9033 7.6686 0.0000
0.0000 0.0000 10.1945
K Co Cu Te Se
2 2 2 4 2
direct
0.2490 0.7510 0.7500
0.7510 0.2490 0.2500
0.0000 0.0000 0.0000
0.0000 0.0000 0.5000
0.4633 0.5367 0.2500
0.5367 0.4633 0.7500
0.3869 0.6131 0.0281
0.3869 0.6131 0.4719
0.6131 0.3869 0.5281
0.6131 0.3869 0.9719
0.0590 0.9410 0.2500
0.9410 0.0590 0.7500
```

***

Record 6
DFT (PBE) results for crystalline KCoCuTc at its relaxed geometry.

Computed properties:
density = 6.41 Mg/m³
space group = F-43m (216)
energy above the lowest structure with this stoichiometry = 0.00 kcal/mol of atoms

POSCAR file:
```
KCoCuTc
1.0
0.0000 3.2277 3.2277
3.2277 0.0000 3.2277
3.2277 3.2277 0.0000
K Co Cu Tc
1 1 1 1
direct
0.0000 0.0000 0.0000
0.7500 0.7500 0.7500
0.2500 0.2500 0.2500
0.5000 0.5000 0.5000
```